# 1
Below is a relaxed structure of CuPdPb4, with properties calculated at the GGA-PBE level.

Cell: 7.8804 7.8804 7.8804 Å, 127.96 127.96 76.70°
Fractional positions:
1 Cu 0.2500 0.2500 0.0000
2 Cu 0.7500 0.7500 0.0000
3 Pd 0.0000 0.0000 0.0000
4 Pd 0.5000 0.5000 0.0000
5 Pb 0.0372 0.5372 0.8361
6 Pb 0.2012 0.0372 0.5000
7 Pb 0.2988 0.7988 0.8361
8 Pb 0.4628 0.2988 0.5000
9 Pb 0.5372 0.7012 0.5000
10 Pb 0.7012 0.2012 0.1639
11 Pb 0.7988 0.9628 0.5000
12 Pb 0.9628 0.4628 0.1639

Calculated volume   24.62 A^3/atom
Space-group type   No. 140
Calculated density   11.23 g/cm³
Crystal system   tetragonal
E_form   -0.0089 eV/atom



# 2
Below is a relaxed structure of Cu3PdPb, with properties calculated at the GGA-PBE level.

Cell: 4.7156 4.7156 4.7156 Å, 90.00 90.00 90.00°
Fractional positions:
1 Cu 0.0000 0.0000 0.5000
2 Cu 0.0000 0.5000 0.0000
3 Cu 0.5000 0.0000 0.0000
4 Pd 0.0000 0.0000 0.0000
5 Pb 0.5000 0.5000 0.5000

Calculated volume   20.97 A^3/atom
Space-group type   No. 221
Offset from the most stable computed form   0.0 meV/atom
Calculated density   7.99 g/cm³
Crystal system   cubic
E_form   0.5890 eV/atom



# 3
Below is a relaxed structure of CuPdPb3, with properties calculated at the GGA-PBE level.

Cell: 5.1590 5.1590 5.1590 Å, 90.00 90.00 90.00°
Fractional positions:
1 Cu 0.0000 0.0000 0.0000
2 Pd 0.5000 0.5000 0.5000
3 Pb 0.0000 0.0000 0.5000
4 Pb 0.0000 0.5000 0.0000
5 Pb 0.5000 0.0000 0.0000

Calculated volume   27.46 A^3/atom
Space-group type   No. 221
Calculated density   9.57 g/cm³
Crystal system   cubic
E_form   0.4174 eV/atom



# 4
Below is a relaxed structure of CuPdPb, with properties calculated at the GGA-PBE level.

Cell: 5.1300 5.1300 5.1300 Å, 140.48 140.48 57.13°
Fractional positions:
1 Cu 0.0000 0.0000 0.0000
2 Pd 0.6333 0.6333 0.0000
3 Pb 0.3159 0.3159 0.0000

Calculated volume   18.07 A^3/atom
Space-group type   No. 107
Offset from the most stable computed form   0.0 meV/atom
Calculated density   11.55 g/cm³
Crystal system   tetragonal
E_form   -0.0358 eV/atom



# 5
Below is a relaxed structure of CuPdPb, with properties calculated at the GGA-PBE level.

Cell: 4.4057 4.4057 3.3363 Å, 90.00 90.00 120.00°
Fractional positions:
1 Cu 0.0000 0.0000 0.0000
2 Pd 0.3333 0.6667 0.8371
3 Pb 0.6667 0.3333 0.3881

Calculated volume   18.69 A^3/atom
Space-group type   No. 156
Offset from the most stable computed form   78.9 meV/atom
Calculated density   11.17 g/cm³
Crystal system   trigonal
E_form   0.0431 eV/atom



# 6
Below is a relaxed structure of PmCuPdPb, with properties calculated at the GGA-PBE level.

Cell: 4.9079 4.9079 4.9079 Å, 60.00 60.00 60.00°
Fractional positions:
1 Pm 0.0000 0.0000 0.0000
2 Cu 0.2500 0.2500 0.2500
3 Pd 0.7500 0.7500 0.7500
4 Pb 0.5000 0.5000 0.5000

Calculated volume   20.90 A^3/atom
Space-group type   No. 216
Calculated density   10.37 g/cm³
Crystal system   cubic
E_form   -0.4404 eV/atom



# 7
Below is a relaxed structure of Pr2Cu2Pd5Pb, with properties calculated at the GGA-PBE level.

Cell: 9.7843 9.7843 3.9565 Å, 90.00 90.00 90.00°
Fractional positions:
1 Pr 0.1770 0.3230 0.0000
2 Pr 0.3230 0.8230 0.0000
3 Pr 0.6770 0.1770 0.0000
4 Pr 0.8230 0.6770 0.0000
5 Cu 0.1172 0.6172 0.0000
6 Cu 0.3828 0.1172 0.0000
7 Cu 0.6172 0.8828 0.0000
8 Cu 0.8828 0.3828 0.0000
9 Pd 0.0000 0.5000 0.5000
10 Pd 0.0686 0.7864 0.5000
11 Pd 0.2136 0.0686 0.5000
12 Pd 0.2864 0.5686 0.5000
13 Pd 0.4314 0.2864 0.5000
14 Pd 0.5000 0.0000 0.5000
15 Pd 0.5686 0.7136 0.5000
16 Pd 0.7136 0.4314 0.5000
17 Pd 0.7864 0.9314 0.5000
18 Pd 0.9314 0.2136 0.5000
19 Pb 0.0000 0.0000 0.0000
20 Pb 0.5000 0.5000 0.0000

Calculated volume   18.94 A^3/atom
Space-group type   No. 127
Calculated density   10.07 g/cm³
Crystal system   tetragonal
E_form   -0.5752 eV/atom



# 8
Below is a relaxed structure of CuPdPtPb, with properties calculated at the GGA-PBE level.

Cell: 4.5832 4.5832 4.5832 Å, 60.00 60.00 60.00°
Fractional positions:
1 Cu 0.0000 0.0000 0.0000
2 Pd 0.7500 0.7500 0.7500
3 Pt 0.2500 0.2500 0.2500
4 Pb 0.5000 0.5000 0.5000

Calculated volume   17.02 A^3/atom
Space-group type   No. 216
Calculated density   13.96 g/cm³
Crystal system   cubic
E_form   -0.0722 eV/atom



# 9
Below is a relaxed structure of Cu2PdRhPb, with properties calculated at the GGA-PBE level.

Cell: 4.6728 4.6728 4.8857 Å, 90.00 90.00 90.00°
Fractional positions:
1 Cu 0.0000 0.5000 0.0000
2 Cu 0.5000 0.0000 0.0000
3 Pd 0.0000 0.0000 0.0000
4 Rh 0.0000 0.0000 0.5000
5 Pb 0.5000 0.5000 0.5000

Calculated volume   21.34 A^3/atom
Space-group type   No. 123
Calculated density   8.46 g/cm³
Crystal system   tetragonal
E_form   0.7919 eV/atom



# 10
Below is a relaxed structure of CuPdRuPb2, with properties calculated at the GGA-PBE level.

Cell: 5.1789 5.1789 4.8705 Å, 90.00 90.00 90.00°
Fractional positions:
1 Cu 0.0000 0.0000 0.0000
2 Pd 0.5000 0.5000 0.0000
3 Ru 0.5000 0.5000 0.5000
4 Pb 0.0000 0.5000 0.5000
5 Pb 0.5000 0.0000 0.5000

Calculated volume   26.13 A^3/atom
Space-group type   No. 123
Calculated density   8.71 g/cm³
Crystal system   tetragonal
E_form   0.8614 eV/atom



# 11
Below is a relaxed structure of CuPd2PbSe, with properties calculated at the GGA-PBE level.

Cell: 4.8517 4.8517 4.5045 Å, 90.00 90.00 90.00°
Fractional positions:
1 Cu 0.0000 0.0000 0.0000
2 Pd 0.0000 0.5000 0.5000
3 Pd 0.5000 0.0000 0.5000
4 Pb 0.5000 0.5000 0.0000
5 Se 0.0000 0.0000 0.5000

Calculated volume   21.21 A^3/atom
ΔE_f (raw)   0.055 eV/atom
Space-group type   No. 123
Calculated density   8.81 g/cm³
Crystal system   tetragonal



# 12
Below is a relaxed structure of SmCuPdPb, with properties calculated at the GGA-PBE level.

Cell: 4.8933 4.8933 4.8933 Å, 60.00 60.00 60.00°
Fractional positions:
1 Sm 0.0000 0.0000 0.0000
2 Cu 0.7500 0.7500 0.7500
3 Pd 0.2500 0.2500 0.2500
4 Pb 0.5000 0.5000 0.5000

Calculated volume   20.71 A^3/atom
Space-group type   No. 216
Calculated density   10.57 g/cm³
Crystal system   cubic
E_form   -0.4432 eV/atom